[1]
The following is a PBE-GGA calculation of an optimized crystal structure of YZrCu, from the Alexandria database.

calculated volume = 22.1 Å³/atom
energy above the lowest structure with this stoichiometry = 111.1 meV/atom

a b c (Å): 4.665 5.947 6.152
angles (deg): 60.46 89.95 66.87
Fractional positions:
Zr  0.410  0.145  0.208
Zr  0.820  0.324  0.451
Cu  0.361  0.241  0.715
Cu  0.088  0.791  0.531
Y  0.684  0.597  0.818
Y  0.078  0.809  0.079


[2]
The following is a PBE-GGA calculation of an optimized crystal structure of YZr2Cu, from the Alexandria database.

calculated volume = 23.0 Å³/atom
energy above the lowest structure with this stoichiometry = 183.6 meV/atom

a b c (Å): 9.760 9.760 9.760
angles (deg): 19.64 19.64 19.64
Fractional positions:
Y  0.760  0.760  0.760
Zr  0.994  0.994  0.994
Zr  0.242  0.242  0.242
Cu  0.504  0.504  0.504


[3]
The following is a PBE-GGA calculation of an optimized crystal structure of Y2ZrCu2, from the Alexandria database.

calculated volume = 21.9 Å³/atom
energy above the lowest structure with this stoichiometry = 0.0 meV/atom

a b c (Å): 7.800 7.800 3.607
angles (deg): 90.00 90.00 90.00
Fractional positions:
Zr  0.500  0.500  0.000
Zr  0.000  0.000  0.000
Y  0.831  0.331  0.500
Y  0.331  0.169  0.500
Y  0.169  0.669  0.500
Y  0.669  0.831  0.500
Cu  0.625  0.125  0.000
Cu  0.375  0.875  0.000
Cu  0.125  0.375  0.000
Cu  0.875  0.625  0.000


[4]
The following is a PBE-GGA calculation of an optimized crystal structure of YZr2Cu, from the Alexandria database.

calculated volume = 22.5 Å³/atom
energy above the lowest structure with this stoichiometry = 6.8 meV/atom

a b c (Å): 6.194 6.194 4.989
angles (deg): 66.20 66.20 31.12
Fractional positions:
Zr  0.038  0.038  0.962
Zr  0.462  0.462  0.538
Y  0.250  0.250  0.250
Cu  0.750  0.750  0.750


[5]
The following is a PBE-GGA calculation of an optimized crystal structure of YZr2Cu, from the Alexandria database.

calculated volume = 22.9 Å³/atom
energy above the lowest structure with this stoichiometry = 399.0 meV/atom

a b c (Å): 4.118 4.118 11.173
angles (deg): 79.38 79.38 90.00
Fractional positions:
Y  0.750  0.250  0.500
Y  0.000  0.000  0.000
Cu  0.250  0.750  0.500
Cu  0.500  0.500  0.000
Zr  0.607  0.125  0.250
Zr  0.375  0.393  0.750
Zr  0.875  0.857  0.750
Zr  0.143  0.625  0.250


[6]
The following is a PBE-GGA calculation of an optimized crystal structure of YZr2Cu, from the Alexandria database.

calculated volume = 22.0 Å³/atom
energy above the lowest structure with this stoichiometry = 203.8 meV/atom

a b c (Å): 5.746 5.746 5.746
angles (deg): 136.70 136.70 62.90
Fractional positions:
Cu  0.250  0.750  0.500
Y  0.750  0.250  0.500
Zr  0.000  0.000  0.000
Zr  0.500  0.500  0.000